[1]
Density functional theory data (PBE-GGA) for a relaxed LiAcCd2 crystal.

For the distance to the lowest polymorph of the same formula, the calculation gives 45 meV per atom. The value obtained for the formation energy is -0.21 eV per atom. The uncorrected energy comes out at -2.1776 eV per atom. The density of states at the Fermi level comes out at 0.869 states/eV/atom. The calculation puts the total magnetic moment at 0.00 μB/f.u.

The space group is P4/mmm (No. 123) and the conventional cell measures 3.6731, 3.6731 and 7.8510 Å, with angles of 90.00, 90.00 and 90.00 degrees. The asymmetric unit holds Li at (0.0000, 0.0000, 0.0000), Ac at (0.0000, 0.0000, 0.5000) and Cd at (0.5000, 0.5000, 0.1937).

[2]
Density functional theory data (PBE-GGA) for a relaxed TaTc2PtBr crystal.

The uncorrected energy comes out at -6.3555 eV per atom. The density of states at the Fermi level comes out at 1.003 states/eV/atom. The calculation puts the total magnetic moment at 3.60 μB/f.u. The uncorrected formation energy is 1704 meV per atom.

The space group is P4/mmm (No. 123) and the conventional cell measures 4.9425, 4.9425 and 4.9318 Å, with angles of 90.00, 90.00 and 90.00 degrees. The asymmetric unit holds Ta at (0.0000, 0.0000, 0.0000), Tc at (0.0000, 0.5000, 0.5000), Pt at (0.0000, 0.0000, 0.5000) and Br at (0.5000, 0.5000, 0.0000).

[3]
Density functional theory data (PBE-GGA) for a relaxed Tl3CrIn crystal.

For the distance to the lowest polymorph of the same formula, the calculation gives 0 meV per atom. The value obtained for the formation energy is 0.45 eV per atom. The uncorrected energy comes out at -3.4466 eV per atom. The density of states at the Fermi level comes out at 0.876 states/eV/atom. The calculation puts the total magnetic moment at 2.82 μB/f.u.

The space group is Pm-3m (No. 221) and the conventional cell measures 5.3412, 5.3412 and 5.3412 Å, with angles of 90.00, 90.00 and 90.00 degrees. The asymmetric unit holds Tl at (0.0000, 0.0000, 0.5000), Cr at (0.0000, 0.0000, 0.0000) and In at (0.5000, 0.5000, 0.5000).

[4]
Density functional theory data (PBE-GGA) for a relaxed TcSnSe3 crystal.

For the distance to the lowest polymorph of the same formula, the calculation gives 0 meV per atom. The uncorrected energy comes out at -4.7773 eV per atom. The density of states at the Fermi level comes out at 1.379 states/eV/atom. The calculation puts the total magnetic moment at 1.82 μB/f.u. The uncorrected formation energy is 187 meV per atom.

The space group is Pm-3m (No. 221) and the conventional cell measures 4.9555, 4.9555 and 4.9555 Å, with angles of 90.00, 90.00 and 90.00 degrees. The asymmetric unit holds Tc at (0.0000, 0.0000, 0.0000), Sn at (0.5000, 0.5000, 0.5000) and Se at (0.0000, 0.0000, 0.5000).

[5]
Density functional theory data (PBE-GGA) for a relaxed MnHW2 crystal.

For the distance to the lowest polymorph of the same formula, the calculation gives 0 meV per atom. The uncorrected energy comes out at -9.1171 eV per atom. The density of states at the Fermi level comes out at 0.648 states/eV/atom. The calculation puts the total magnetic moment at 0.00 μB/f.u.

The space group is I-42d (No. 122) and the conventional cell measures 5.7484, 5.7484 and 5.7766 Å, with angles of 90.00, 90.00 and 90.00 degrees. The asymmetric unit holds Mn at (0.0000, 0.0000, 0.0000), H at (0.0000, 0.0000, 0.5000) and W at (0.1838, 0.2500, 0.6250).

[6]
Density functional theory data (PBE-GGA) for a relaxed BaTaCu crystal.

For the distance to the lowest polymorph of the same formula, the calculation gives 1317 meV per atom. The value obtained for the formation energy is 1.63 eV per atom. The uncorrected energy comes out at -4.3304 eV per atom. The density of states at the Fermi level comes out at 1.271 states/eV/atom. The calculation puts the total magnetic moment at 0.00 μB/f.u.

The space group is P6_3/mmc (No. 194) and the conventional cell measures 5.1694, 5.1694 and 6.1012 Å, with angles of 90.00, 90.00 and 120.00 degrees. The asymmetric unit holds Ba at (0.3333, 0.6667, 0.2500), Ta at (0.3333, 0.6667, 0.7500) and Cu at (0.0000, 0.0000, 0.0000).

[7]
Density functional theory data (PBE-GGA) for a relaxed Cs4YHo3Te8 crystal.

The uncorrected energy comes out at -4.4306 eV per atom. The calculation puts the total magnetic moment at 0.00 μB/f.u. The uncorrected formation energy is -1384 meV per atom.

The space group is R-3m (No. 166, hexagonal axes) and the conventional cell measures 9.0871, 9.0871 and 26.7456 Å, with angles of 90.00, 90.00 and 120.00 degrees. The asymmetric unit holds Cs at (0.0000, 0.0000, 0.0000), Cs at (0.0000, 0.5000, 0.0000), Y at (0.0000, 0.0000, 0.5000), Ho at (0.0000, 0.5000, 0.5000), Te at (0.0000, 0.0000, 0.2296) and Te at (0.0011, 0.5006, 0.7702).

[8]
Density functional theory data (PBE-GGA) for a relaxed Ho2SnH2 crystal.

The uncorrected energy comes out at -4.6910 eV per atom. The density of states at the Fermi level comes out at 0.192 states/eV/atom. The calculation puts the total magnetic moment at 0.00 μB/f.u.

The space group is I4/mmm (No. 139) and the conventional cell measures 3.9512, 3.9512 and 10.7255 Å, with angles of 90.00, 90.00 and 90.00 degrees. The asymmetric unit holds Ho at (0.0000, 0.0000, 0.1544), Sn at (0.0000, 0.0000, 0.5000) and H at (0.0000, 0.5000, 0.2500).

[9]
Density functional theory data (PBE-GGA) for a relaxed NaCd6In12 crystal.

For the distance to the lowest polymorph of the same formula, the calculation gives 0 meV per atom. The value obtained for the formation energy is 0.02 eV per atom. The uncorrected energy comes out at -2.0657 eV per atom. The density of states at the Fermi level comes out at 0.432 states/eV/atom. The calculation puts the total magnetic moment at 0.00 μB/f.u.

The space group is R-3 (No. 148, hexagonal axes) and the conventional cell measures 13.5756, 13.5756 and 9.4186 Å, with angles of 90.00, 90.00 and 120.00 degrees. The asymmetric unit holds Na at (0.0000, 0.0000, 0.0000), Cd at (0.0096, 0.1348, 0.7071), In at (0.0350, 0.2684, 0.4050) and In at (0.0638, 0.5579, 0.6491).

[10]
Density functional theory data (PBE-GGA) for a relaxed TaPBr2 crystal.

For the distance to the lowest polymorph of the same formula, the calculation gives 928 meV per atom. The uncorrected energy comes out at -4.6448 eV per atom. The density of states at the Fermi level comes out at 0.741 states/eV/atom. The calculation puts the total magnetic moment at 0.69 μB/f.u. The uncorrected formation energy is 507 meV per atom.

The space group is Cmmm (No. 65) and the conventional cell measures 3.0559, 5.8998 and 11.3870 Å, with angles of 90.00, 90.00 and 90.00 degrees. The asymmetric unit holds Ta at (0.0000, 0.0000, 0.0000), P at (0.0000, 0.0000, 0.5000) and Br at (0.0000, 0.5000, 0.1868).

[11]
Density functional theory data (PBE-GGA) for a relaxed Dy8Mg2Sc crystal.

For the distance to the lowest polymorph of the same formula, the calculation gives 120 meV per atom. The value obtained for the formation energy is 0.14 eV per atom. The uncorrected energy comes out at -4.0696 eV per atom. The density of states at the Fermi level comes out at 1.324 states/eV/atom. The calculation puts the total magnetic moment at 0.00 μB/f.u.

The space group is C2/m (No. 12) and the conventional cell measures 8.6398, 15.4035 and 5.5716 Å, with angles of 90.00, 115.71 and 90.00 degrees. The asymmetric unit holds Dy at (0.0000, 0.2073, 0.0000), Dy at (0.1031, 0.5000, 0.7984), Dy at (0.2094, 0.1104, 0.6292), Mg at (0.0000, 0.3051, 0.5000) and Sc at (0.0000, 0.0000, 0.0000).

[12]
Density functional theory data (PBE-GGA) for a relaxed Na3NdPu2Te6 crystal.

The uncorrected energy comes out at -5.8130 eV per atom. The density of states at the Fermi level comes out at 2.214 states/eV/atom. The calculation puts the total magnetic moment at 10.00 μB/f.u. The uncorrected formation energy is -1126 meV per atom.

The space group is C2/m (No. 12) and the conventional cell measures 7.8195, 13.5427 and 7.9493 Å, with angles of 90.00, 109.14 and 90.00 degrees. The asymmetric unit holds Na at (0.0000, 0.0000, 0.0000), Na at (0.0000, 0.3348, 0.0000), Nd at (0.0000, 0.5000, 0.5000), Pu at (0.0000, 0.1669, 0.5000), Te at (0.2405, 0.0000, 0.7362) and Te at (0.2478, 0.3310, 0.7360).

[13]
Density functional theory data (PBE-GGA) for a relaxed AcInPt crystal.

For the distance to the lowest polymorph of the same formula, the calculation gives 137 meV per atom. The value obtained for the formation energy is -0.78 eV per atom. The uncorrected energy comes out at -5.0717 eV per atom. The density of states at the Fermi level comes out at 1.176 states/eV/atom. The calculation puts the total magnetic moment at 0.00 μB/f.u.

The space group is F-43m (No. 216) and the conventional cell measures 7.0791, 7.0791 and 7.0791 Å, with angles of 90.00, 90.00 and 90.00 degrees. The asymmetric unit holds Ac at (0.0000, 0.0000, 0.0000), In at (0.0000, 0.0000, 0.5000) and Pt at (0.2500, 0.2500, 0.2500).

[14]
Density functional theory data (PBE-GGA) for a relaxed InIrN2O crystal.

The uncorrected energy comes out at -4.6396 eV per atom. The density of states at the Fermi level comes out at 1.221 states/eV/atom. The calculation puts the total magnetic moment at 2.56 μB/f.u. The uncorrected formation energy is 2002 meV per atom.

The space group is P4/mmm (No. 123) and the conventional cell measures 4.1555, 4.1555 and 4.0145 Å, with angles of 90.00, 90.00 and 90.00 degrees. The asymmetric unit holds In at (0.0000, 0.0000, 0.0000), Ir at (0.5000, 0.5000, 0.5000), N at (0.0000, 0.5000, 0.0000) and O at (0.0000, 0.0000, 0.5000).

[15]
Density functional theory data (PBE-GGA) for a relaxed Cu2BCCl crystal.

The uncorrected energy comes out at -4.8457 eV per atom. The density of states at the Fermi level comes out at 0.000 states/eV/atom. The calculation puts the total magnetic moment at 0.00 μB/f.u. The uncorrected formation energy is 342 meV per atom.

The space group is P4/mmm (No. 123) and the conventional cell measures 4.4739, 4.4739 and 2.9388 Å, with angles of 90.00, 90.00 and 90.00 degrees. The asymmetric unit holds Cu at (0.0000, 0.5000, 0.0000), B at (0.0000, 0.0000, 0.5000), C at (0.0000, 0.0000, 0.0000) and Cl at (0.5000, 0.5000, 0.5000).

[16]
Density functional theory data (PBE-GGA) for a relaxed RbFeRuBr6 crystal.

The uncorrected energy comes out at -3.7349 eV per atom. The density of states at the Fermi level comes out at 1.012 states/eV/atom. The calculation puts the total magnetic moment at 1.06 μB/f.u. The uncorrected formation energy is -541 meV per atom.

The space group is P312 (No. 149) and the conventional cell measures 6.5184, 6.5184 and 7.8086 Å, with angles of 90.00, 90.00 and 120.00 degrees. The asymmetric unit holds Rb at (0.0000, 0.0000, 0.0000), Fe at (0.6667, 0.3333, 0.5000), Ru at (0.3333, 0.6667, 0.5000) and Br at (0.3721, 0.0087, 0.6776).

[17]
Density functional theory data (PBE-GGA) for a relaxed CuSnOsC crystal.

For the distance to the lowest polymorph of the same formula, the calculation gives 61 meV per atom. The value obtained for the formation energy is 0.46 eV per atom. The uncorrected energy comes out at -6.6825 eV per atom. The density of states at the Fermi level comes out at 0.282 states/eV/atom. The calculation puts the total magnetic moment at 0.00 μB/f.u.

The space group is Cm (No. 8) and the conventional cell measures 5.8809, 3.3744 and 6.7545 Å, with angles of 90.00, 107.14 and 90.00 degrees. The asymmetric unit holds Cu at (0.0000, 0.0000, 0.0000), Sn at (0.4260, 0.0000, 0.2804), Os at (0.0668, 0.5000, 0.6970) and C at (0.2299, 0.0000, 0.6842).

[18]
Density functional theory data (PBE-GGA) for a relaxed Tl2CrTcSn crystal.

The value obtained for the formation energy is 0.90 eV per atom. The uncorrected energy comes out at -4.8409 eV per atom. The density of states at the Fermi level comes out at 0.880 states/eV/atom. The calculation puts the total magnetic moment at 1.57 μB/f.u.

The space group is P4/mmm (No. 123) and the conventional cell measures 5.2750, 5.2750 and 4.3997 Å, with angles of 90.00, 90.00 and 90.00 degrees. The asymmetric unit holds Tl at (0.0000, 0.5000, 0.0000), Cr at (0.0000, 0.0000, 0.0000), Tc at (0.0000, 0.0000, 0.5000) and Sn at (0.5000, 0.5000, 0.5000).

[19]
Density functional theory data (PBE-GGA) for a relaxed RbWSeBr2 crystal.

For the distance to the lowest polymorph of the same formula, the calculation gives 0 meV per atom. The uncorrected energy comes out at -4.5439 eV per atom. The density of states at the Fermi level comes out at 0.545 states/eV/atom. The calculation puts the total magnetic moment at 1.86 μB/f.u. The uncorrected formation energy is -394 meV per atom.

The space group is P4/mmm (No. 123) and the conventional cell measures 5.4777, 5.4777 and 4.8714 Å, with angles of 90.00, 90.00 and 90.00 degrees. The asymmetric unit holds Rb at (0.0000, 0.0000, 0.0000), W at (0.5000, 0.5000, 0.5000), Se at (0.5000, 0.5000, 0.0000) and Br at (0.0000, 0.5000, 0.5000).